1.
{
  "formula": "ZrPIrO2",
  "functional": "PBEsol",
  "state": "optimized geometry",
  "lattice": [[3.864, 0.000, 0.000], [0.000, 3.864, 0.000], [0.000, 0.000, 4.710]],
  "species": ["Zr", "P", "Ir", "O", "O"],
  "frac_coords": [[0.000, 0.000, 0.000], [0.500, 0.500, 0.000], [0.500, 0.500, 0.500], [0.000, 0.500, 0.500], [0.500, 0.000, 0.500]],
  "raw_formation_energy_ev_per_atom": -0.48,
  "total_energy_ev_per_atom": -7.5171,
  "mass_density_g_cm3": 8.182
}

***

2.
{
  "formula": "La3Re2O10",
  "functional": "PBEsol",
  "state": "optimized geometry",
  "lattice": [[3.914, -3.901, 0.000], [3.914, 3.901, 0.000], [-2.995, 0.000, 6.440]],
  "species": ["La", "La", "La", "Re", "Re", "O", "O", "O", "O", "O", "O", "O", "O", "O", "O"],
  "frac_coords": [[0.000, 0.000, 0.000], [0.257, 0.743, 0.500], [0.743, 0.257, 0.500], [0.365, 0.365, 0.824], [0.635, 0.635, 0.176], [0.093, 0.093, 0.717], [0.128, 0.605, 0.787], [0.329, 0.329, 0.527], [0.351, 0.351, 0.096], [0.395, 0.872, 0.213], [0.605, 0.128, 0.787], [0.649, 0.649, 0.904], [0.671, 0.671, 0.473], [0.872, 0.395, 0.213], [0.907, 0.907, 0.283]],
  "raw_formation_energy_ev_per_atom": -2.62,
  "total_energy_ev_per_atom": -8.9705,
  "mass_density_g_cm3": 8.014
}

***

3.
{
  "formula": "ScTlRu2I",
  "functional": "PBEsol",
  "state": "optimized geometry",
  "lattice": [[4.773, 0.000, 0.000], [0.000, 4.773, 0.000], [0.000, 0.000, 5.538]],
  "species": ["Sc", "Tl", "Ru", "Ru", "I"],
  "frac_coords": [[0.000, 0.000, 0.000], [0.500, 0.500, 0.500], [0.000, 0.500, 0.000], [0.500, 0.000, 0.000], [0.000, 0.000, 0.500]],
  "raw_formation_energy_ev_per_atom": 1.19,
  "total_energy_ev_per_atom": -5.0831,
  "mass_density_g_cm3": 7.611
}

***

4.
{
  "formula": "FeNi3H",
  "functional": "PBEsol",
  "state": "optimized geometry",
  "lattice": [[3.551, 0.000, 0.000], [0.000, 3.551, 0.000], [0.000, 0.000, 3.551]],
  "species": ["Fe", "Ni", "Ni", "Ni", "H"],
  "frac_coords": [[0.000, 0.000, 0.000], [0.000, 0.500, 0.500], [0.500, 0.000, 0.500], [0.500, 0.500, 0.000], [0.500, 0.500, 0.500]],
  "total_energy_ev_per_atom": -6.2006,
  "mass_density_g_cm3": 8.639
}

***

5.
{
  "formula": "TlCu2As2",
  "functional": "PBEsol",
  "state": "optimized geometry",
  "lattice": [[-2.141, 2.141, 4.999], [2.141, -2.141, 4.999], [2.141, 2.141, -4.999]],
  "species": ["Tl", "Cu", "Cu", "As", "As"],
  "frac_coords": [[0.000, 0.000, 0.000], [0.250, 0.750, 0.500], [0.750, 0.250, 0.500], [0.374, 0.374, 0.000], [0.626, 0.626, 0.000]],
  "ef_kj_per_mol_atoms": 5.7,
  "total_energy_ev_per_atom": -4.2433,
  "mass_density_g_cm3": 8.716
}

***

6.
{
  "formula": "AgMo2Cl",
  "functional": "PBEsol",
  "state": "optimized geometry",
  "lattice": [[-1.490, 2.389, 4.855], [1.490, -2.389, 4.855], [1.490, 2.389, -4.855]],
  "species": ["Ag", "Mo", "Mo", "Cl"],
  "frac_coords": [[0.000, 0.000, 0.000], [0.514, 0.514, 0.000], [0.701, 0.201, 0.500], [0.280, 0.780, 0.500]],
  "raw_formation_energy_ev_per_atom": 0.56,
  "total_energy_ev_per_atom": -6.6555,
  "mass_density_g_cm3": 8.053
}

***

7.
{
  "formula": "ScZn2Os",
  "functional": "PBEsol",
  "state": "optimized geometry",
  "lattice": [[-1.930, 1.930, 3.957], [1.930, -1.930, 3.957], [1.930, 1.930, -3.957]],
  "species": ["Sc", "Zn", "Zn", "Os"],
  "frac_coords": [[0.000, 0.000, 0.000], [0.250, 0.750, 0.500], [0.750, 0.250, 0.500], [0.500, 0.500, 0.000]],
  "ef_kj_per_mol_atoms": -27.3,
  "total_energy_ev_per_atom": -5.7791,
  "mass_density_g_cm3": 10.313
}

***

8.
{
  "formula": "Ta3NbV4O20",
  "functional": "PBEsol",
  "state": "optimized geometry",
  "lattice": [[6.995, 0.000, 0.000], [0.000, 5.562, 0.000], [-0.015, 0.000, 11.926]],
  "species": ["Ta", "Ta", "Ta", "Nb", "V", "V", "V", "V", "O", "O", "O", "O", "O", "O", "O", "O", "O", "O", "O", "O", "O", "O", "O", "O", "O", "O", "O", "O"],
  "frac_coords": [[0.000, 0.000, 0.000], [0.181, 0.000, 0.502], [0.684, 0.500, 0.882], [0.497, 0.500, 0.382], [0.312, 0.500, 0.094], [0.372, 0.000, 0.787], [0.813, 0.000, 0.287], [0.873, 0.500, 0.596], [0.002, 0.250, 0.567], [0.002, 0.750, 0.567], [0.019, 0.000, 0.366], [0.166, 0.000, 0.865], [0.184, 0.250, 0.064], [0.184, 0.750, 0.064], [0.314, 0.000, 0.647], [0.342, 0.249, 0.442], [0.342, 0.751, 0.442], [0.369, 0.500, 0.235], [0.501, 0.250, 0.818], [0.501, 0.750, 0.818], [0.519, 0.500, 0.017], [0.669, 0.500, 0.518], [0.685, 0.248, 0.316], [0.685, 0.752, 0.316], [0.812, 0.500, 0.736], [0.842, 0.250, 0.941], [0.842, 0.750, 0.941], [0.874, 0.000, 0.146]],
  "raw_formation_energy_ev_per_atom": -2.57,
  "total_energy_ev_per_atom": -9.4304,
  "mass_density_g_cm3": 4.150
}

***

9.
{
  "formula": "MgMo2Pt",
  "functional": "PBEsol",
  "state": "optimized geometry",
  "lattice": [[1.722, -2.112, 0.000], [1.722, 2.112, 0.000], [0.000, 0.000, 8.614]],
  "species": ["Mg", "Mo", "Mo", "Pt"],
  "frac_coords": [[0.000, 0.000, 0.000], [0.000, 0.000, 0.476], [0.500, 0.500, 0.727], [0.500, 0.500, 0.241]],
  "ef_kj_per_mol_atoms": -5.6,
  "total_energy_ev_per_atom": -8.1118,
  "mass_density_g_cm3": 10.900
}

***

10.
{
  "formula": "Sr2RhPb",
  "functional": "PBEsol",
  "state": "optimized geometry",
  "lattice": [[5.028, 0.000, 0.000], [0.000, 5.028, 0.000], [0.000, 0.000, 4.242]],
  "species": ["Sr", "Sr", "Rh", "Pb"],
  "frac_coords": [[0.000, 0.500, 0.000], [0.500, 0.000, 0.000], [0.000, 0.000, 0.500], [0.500, 0.500, 0.500]],
  "ef_kj_per_mol_atoms": -13.8,
  "total_energy_ev_per_atom": -4.0978,
  "mass_density_g_cm3": 7.515
}

***

11.
{
  "formula": "Mn4ZnW",
  "functional": "PBEsol",
  "state": "optimized geometry",
  "lattice": [[0.000, 3.282, 3.282], [3.282, 0.000, 3.282], [3.282, 3.282, 0.000]],
  "species": ["Mn", "Mn", "Mn", "Mn", "Zn", "W"],
  "frac_coords": [[0.124, 0.124, 0.124], [0.124, 0.124, 0.628], [0.124, 0.628, 0.124], [0.628, 0.124, 0.124], [0.750, 0.750, 0.750], [0.500, 0.500, 0.500]],
  "ef_kj_per_mol_atoms": 6.1,
  "total_energy_ev_per_atom": -9.0094,
  "mass_density_g_cm3": 11.016
}

***

12.
{
  "formula": "RbLiPt2F",
  "functional": "PBEsol",
  "state": "optimized geometry",
  "lattice": [[4.116, 0.000, 0.000], [0.000, 4.116, 0.000], [0.000, 0.000, 6.919]],
  "species": ["Rb", "Li", "Pt", "Pt", "F"],
  "frac_coords": [[0.000, 0.000, 0.000], [0.000, 0.000, 0.500], [0.000, 0.500, 0.500], [0.500, 0.000, 0.500], [0.500, 0.500, 0.000]],
  "raw_formation_energy_ev_per_atom": 0.13,
  "total_energy_ev_per_atom": -3.6437,
  "mass_density_g_cm3": 7.106
}